(1)
CuCO3 | PBE | optimized geometry

Cell lengths 7.853, 7.825, 3.371 Å; angles 90.00, 90.00, 119.79 degrees
Sites, in units of the cell vectors:
O: 0.093 0.189 0.000
O: 0.463 0.611 0.500
O: 0.393 0.856 0.500
O: 0.826 0.501 0.000
O: 0.095 0.904 0.000
O: 0.810 0.904 0.000
O: 0.678 0.174 0.000
O: 0.148 0.540 0.500
O: 0.499 0.323 0.000
C: 0.000 0.999 0.000
C: 0.333 0.668 0.500
C: 0.667 0.333 0.000
Cu: 0.987 0.359 0.000
Cu: 0.369 0.006 0.000
Cu: 0.637 0.630 0.000

The calculation puts the formation energy without anion corrections at -4.463 eV per formula unit. Its symmetry is Pm, No. 6.

(2)
Tb2NdDy2Er2 | PBE | optimized geometry

Cell lengths 3.494, 9.174, 8.372 Å; angles 118.73, 90.00, 100.98 degrees
Sites, in units of the cell vectors:
Tb: 0.649 0.298 0.909
Tb: 0.351 0.702 0.091
Dy: 0.572 0.143 0.233
Dy: 0.428 0.857 0.767
Nd: 0.000 0.000 0.500
Er: 0.212 0.423 0.625
Er: 0.788 0.577 0.375

The energy of formation from the pure elements is 148 meV per atom. Its symmetry is C2/m, No. 12.

Calculated density per entry: 3.4, 8.1 g/cm³
DOS at the Fermi energy per entry: 8.12, 11.51 states/eV per cell
Total DFT energy (no corrections) per entry: -32.66, -31.32 eV per formula unit